# 1
{"formula": "MnPd3Pt12", "functional": "GGA-PBE", "state": "optimized geometry", "crystal_system": "tetragonal", "sg": "No. 123", "delta_e_f_ev_per_atom": -0.118, "cell": [[3.940, 0.000, 0.000], [0.000, 3.940, 0.000], [0.000, 0.000, 15.936]], "species": ["Mn", "Pd", "Pd", "Pd", "Pt", "Pt", "Pt", "Pt", "Pt", "Pt", "Pt", "Pt", "Pt", "Pt", "Pt", "Pt"], "frac_coords": [[0.000, 0.000, 0.000], [0.000, 0.000, 0.249], [0.000, 0.000, 0.500], [0.000, 0.000, 0.751], [0.000, 0.500, 0.122], [0.000, 0.500, 0.375], [0.000, 0.500, 0.625], [0.000, 0.500, 0.878], [0.500, 0.000, 0.122], [0.500, 0.000, 0.375], [0.500, 0.000, 0.625], [0.500, 0.000, 0.878], [0.500, 0.500, 0.000], [0.500, 0.500, 0.248], [0.500, 0.500, 0.500], [0.500, 0.500, 0.752]]}


# 2
{"formula": "H5Pd2Pt2", "functional": "GGA-PBE", "state": "optimized geometry", "e_tot_ev_per_atom": -4.3377, "crystal_system": "monoclinic", "sg": "No. 5", "cell": [[7.120, -2.428, 0.000], [7.120, 2.428, 0.000], [-1.666, 0.000, 4.608]], "species": ["H", "H", "H", "H", "H", "H", "H", "H", "H", "H", "Pd", "Pd", "Pd", "Pd", "Pt", "Pt", "Pt", "Pt"], "frac_coords": [[0.048, 0.048, 0.288], [0.056, 0.690, 0.226], [0.310, 0.944, 0.774], [0.334, 0.167, 0.428], [0.451, 0.453, 0.695], [0.547, 0.549, 0.305], [0.555, 0.189, 0.020], [0.811, 0.445, 0.980], [0.833, 0.666, 0.572], [0.952, 0.952, 0.712], [0.118, 0.620, 0.848], [0.380, 0.882, 0.152], [0.619, 0.121, 0.391], [0.879, 0.381, 0.609], [0.002, 0.498, 0.228], [0.242, 0.758, 0.500], [0.502, 0.998, 0.772], [0.742, 0.258, 0.000]]}


# 3
{"formula": "Ir4RhI2", "functional": "GGA-PBE", "state": "optimized geometry", "crystal_system": "tetragonal", "sg": "No. 139", "e_form_raw_mev_per_atom": 1727, "cell": [[-2.410, 2.410, 6.691], [2.410, -2.410, 6.691], [2.410, 2.410, -6.691]], "species": ["Ir", "Ir", "Ir", "Ir", "Rh", "I", "I"], "frac_coords": [[0.000, 0.500, 0.500], [0.194, 0.194, 0.000], [0.500, 0.000, 0.500], [0.806, 0.806, 0.000], [0.000, 0.000, 0.000], [0.378, 0.378, 0.000], [0.622, 0.622, 0.000]]}


# 4
{"formula": "Nd5HoBi6", "functional": "GGA-PBE", "state": "optimized geometry", "crystal_system": "monoclinic", "sg": "No. 12", "delta_e_f_ev_per_atom": -0.927, "cell": [[3.971, -6.880, 0.000], [3.971, 6.880, 0.000], [-2.654, 0.000, 7.487]], "species": ["Nd", "Nd", "Nd", "Nd", "Nd", "Ho", "Bi", "Bi", "Bi", "Bi", "Bi", "Bi"], "frac_coords": [[0.000, 0.000, 0.000], [0.166, 0.834, 0.500], [0.331, 0.669, 0.000], [0.669, 0.331, 0.000], [0.834, 0.166, 0.500], [0.500, 0.500, 0.500], [0.090, 0.418, 0.254], [0.255, 0.255, 0.748], [0.418, 0.090, 0.254], [0.582, 0.910, 0.746], [0.745, 0.745, 0.252], [0.910, 0.582, 0.746]]}


| no. | DOS at the Fermi energy (states/eV/cell) |
| --- | --- |
| 1 | 27.6 |
| 2 | 3.4 |
| 3 | 13.1 |
| 4 | 2.0 |